[1]
Entry from Alexandria: an optimized crystal structure of Dy2Y5Er4 (PBE).

```
11
Lattice="3.527 0.000 0.000 0.000 8.355 -1.642 -1.763 -5.076 13.091" Properties=species:S:1:pos:R:3 pbc="T T T"
Dy 1.763 3.153 1.506
Dy 0.000 0.127 9.943
Y 0.000 5.608 3.365
Y 1.763 -2.329 8.084
Y 0.000 0.458 3.071
Y 1.763 0.000 0.000
Y 1.763 2.822 8.378
Er 1.763 2.895 4.852
Er 0.000 5.736 -0.191
Er 0.000 0.385 6.597
Er 1.763 -2.457 11.640
```

For the energy above the lowest structure with this stoichiometry, the calculation gives 0.003 eV/atom. The space group is C2/m (12). The magnetization comes out at 0.00 μB/f.u. The calculation puts the formation energy at 101 meV/atom. Its calculated volume is 356 Å³/f.u. The calculation puts the final energy at -0.3920 Ry per atom.

***

[2]
Entry from Alexandria: an optimized crystal structure of BaAl2Hg (PBE).

```
4
Lattice="4.716 0.000 0.000 0.000 4.748 0.000 0.000 0.000 4.930" Properties=species:S:1:pos:R:3 pbc="T T T"
Al 0.000 0.000 0.000
Al 2.358 2.374 0.000
Hg 0.000 2.374 2.465
Ba 2.358 0.000 2.465
```

The space group is Pmmm (47). The magnetization comes out at 0.00 μB/f.u. The calculation puts the formation energy at 82 meV/atom. Its calculated volume is 110 Å³/f.u. The calculation puts the final energy at -0.1724 Ry per atom.

***

[3]
Entry from Alexandria: an optimized crystal structure of Ca3Ce2ZrN6 (PBE).

```
12
Lattice="-2.679 2.231 -4.955 -3.321 -2.699 4.289 1.315 5.156 2.841" Properties=species:S:1:pos:R:3 pbc="T T T"
Ca -2.559 0.682 4.203
Ca -2.126 4.006 -2.028
Ca -2.342 2.344 1.088
Ce -3.107 -1.057 1.210
Ce -2.893 0.589 -1.876
Zr 0.000 0.000 0.000
N -3.472 4.454 0.228
N -4.226 0.771 0.118
N -1.212 0.234 1.947
N -3.678 2.876 3.186
N -0.458 3.917 2.058
N -1.007 1.811 -1.011
```

The calculation puts the raw formation energy at -132 kJ/mol of atoms. The space group is C2/m (12). The magnetization comes out at 0.00 μB/f.u. Its calculated volume is 181 Å³/f.u. The calculation puts the final energy at -0.5686 Ry per atom.

***

[4]
Entry from Alexandria: an optimized crystal structure of Sm4BSeBr2 (PBE).

```
8
Lattice="-2.803 2.359 1.681 -3.332 0.589 -6.382 -2.877 -5.974 3.585" Properties=species:S:1:pos:R:3 pbc="T T T"
Sm -2.639 0.141 0.235
Sm -6.374 -3.167 -1.351
Sm -3.067 -4.631 1.385
Sm -3.143 -0.754 -4.182
B 0.000 0.000 0.000
Se -3.068 1.474 -2.351
Br -2.840 -1.808 2.633
Br -3.105 -2.693 -1.399
```

The calculation puts the raw formation energy at -114 kJ/mol of atoms. The space group is P2/m (10). The magnetization comes out at 0.00 μB/f.u. Its calculated volume is 209 Å³/f.u. The calculation puts the final energy at -0.3843 Ry per atom.

***

[5]
Entry from Alexandria: an optimized crystal structure of DyLuInRu (PBE).

```
4
Lattice="5.009 0.000 0.000 2.505 4.338 0.000 2.505 1.446 4.090" Properties=species:S:1:pos:R:3 pbc="T T T"
Ru 7.514 4.338 3.067
Lu 5.009 2.892 2.045
In 2.505 1.446 1.022
Dy 0.000 0.000 0.000
```

The space group is F-43m (216). The magnetization comes out at 0.00 μB/f.u. The calculation puts the formation energy at -357 meV/atom. Its calculated volume is 89 Å³/f.u. The calculation puts the final energy at -0.4147 Ry per atom.

***

[6]
Entry from Alexandria: an optimized crystal structure of OsPtO3 (PBE).

```
5
Lattice="3.868 0.000 0.000 0.000 3.868 0.000 0.000 0.000 3.868" Properties=species:S:1:pos:R:3 pbc="T T T"
Os 0.000 0.000 0.000
O 0.000 1.934 0.000
O 0.000 0.000 1.934
O 1.934 0.000 0.000
Pt 1.934 1.934 1.934
```

The calculation puts the raw formation energy at 12 kJ/mol of atoms. The space group is Pm-3m (221). The magnetization comes out at 0.00 μB/f.u. Its calculated volume is 58 Å³/f.u. The calculation puts the final energy at -0.4637 Ry per atom.

***

[7]
Entry from Alexandria: an optimized crystal structure of CdRhI2O (PBE).

```
5
Lattice="-2.646 -1.175 4.922 -0.385 -5.491 -1.518 3.338 -0.685 1.631" Properties=species:S:1:pos:R:3 pbc="T T T"
I -0.192 -2.746 -0.759
I -1.323 -0.588 2.461
Rh 0.000 0.000 0.000
O 1.669 -0.342 0.815
Cd 0.154 -3.676 2.518
```

For the energy above the lowest structure with this stoichiometry, the calculation gives 0.000 eV/atom. The calculation puts the raw formation energy at -16 kJ/mol of atoms. The space group is P4/mmm (123). The magnetization comes out at 0.00 μB/f.u. Its calculated volume is 123 Å³/f.u. The calculation puts the final energy at -0.2520 Ry per atom.

***

[8]
Entry from Alexandria: an optimized crystal structure of LaPmY4 (PBE).

```
12
Lattice="-2.096 -2.823 -0.842 8.345 -3.913 -7.659 0.872 -3.503 9.577" Properties=species:S:1:pos:R:3 pbc="T T T"
La 0.436 -1.751 4.788
La 3.124 -3.368 -4.250
Pm 3.560 -5.120 0.538
Pm 0.000 0.000 0.000
Y 0.645 -3.233 1.475
Y 0.820 -4.709 -1.778
Y 6.476 -7.006 -0.399
Y 6.301 -5.530 2.855
Y 3.765 -6.609 -2.742
Y 6.044 -5.247 -5.220
Y 3.356 -3.630 3.818
Y 1.077 -4.992 6.296
```

For the energy above the lowest structure with this stoichiometry, the calculation gives 0.000 eV/atom. The space group is C2/m (12). The magnetization comes out at 0.00 μB/f.u. The calculation puts the formation energy at 23 meV/atom. Its calculated volume is 201 Å³/f.u. The calculation puts the final energy at -0.4336 Ry per atom.